Nd2NiHIr after structural relaxation, computed with PBE.

Cell: 5.9149 4.2626 8.0398 Å, 90.00 111.18 90.00°
Closest atoms and distances in Å follow each position.
Sites, in units of the cell vectors:
Nd1 0.2038 0.2500 0.4327  3 H 2.32-2.38
Nd2 0.2822 0.7500 0.0679  4 Ir 2.95-3.20, 3 Ni 3.04-3.09
Nd3 0.7178 0.2500 0.9321  4 Ir 2.95-3.20, 3 Ni 3.04-3.09
Nd4 0.7962 0.7500 0.5673  3 H 2.32-2.38
Ni1 0.3547 0.7500 0.7128  1 H 1.61
Ni2 0.6453 0.2500 0.2872  1 H 1.61
H1 0.3849 0.7500 0.5214  1 Ni 1.61
H2 0.6151 0.2500 0.4786  1 Ni 1.61
Ir1 0.1629 0.2500 0.7960  2 Ni 2.61
Ir2 0.8371 0.7500 0.2040  2 Ni 2.61

Values from the calculation:
Calculated total energy   -6.0164 eV/atom